1.
VASP calculation (SCAN) on a PBEsol-optimized structure of CaY2O2.

Cell: 3.8832 3.8832 8.8618 Å, 102.66 102.66 90.00°
Closest atoms and distances in Å follow each position.
Positions (direct):
Y1 0.6873 0.6873 0.3746  4 O 2.21
Y2 0.3127 0.3127 0.6254  4 O 2.21
O1 0.2500 0.7500 0.5000  4 Y 2.21
O2 0.7500 0.2500 0.5000  4 Y 2.21
Ca1 0.0000 0.0000 0.0000  4 Ca 3.88, 8 Y 4.18

Summary:
- N(E_F) (states/eV per atom) = 0.513
- M_tot (μB/f.u.) = 0.26
- DFT total energy (eV/atom) = -18.117
- E_form (uncorrected) (eV/atom) = -2.555
- ρ (Mg/m³) = 3.266
- space-group type = I4/mmm, No. 139

2.
VASP calculation (SCAN) on a PBEsol-optimized structure of Sb2AsHI.

Cell: 4.4133 4.4133 5.5455 Å, 90.00 90.00 90.00°
Closest atoms and distances in Å follow each position.
Positions (direct):
Sb1 0.0000 0.5000 0.0000  2 H 2.21
Sb2 0.5000 0.0000 0.0000  2 H 2.21
I1 0.0000 0.0000 0.5000  2 H 2.77
H1 0.0000 0.0000 0.0000  4 Sb 2.21
As1 0.5000 0.5000 0.5000  4 I 3.12

Summary:
- N(E_F) (states/eV per atom) = 0.623
- M_tot (μB/f.u.) = 0.00
- DFT total energy (eV/atom) = -26.234
- ρ (Mg/m³) = 6.862
- space-group type = P4/mmm, No. 123

3.
VASP calculation (SCAN) on a PBEsol-optimized structure of HfAu9.

Cell: 4.0700 5.0077 9.2186 Å, 91.09 90.00 113.98°
Closest atoms and distances in Å follow each position.
Positions (direct):
Au1 0.6011 0.2022 0.7981  11 Au 2.84-2.96, 1 Hf 2.88
Au2 0.0000 0.0000 0.0000  12 Au 2.88-2.92
Au3 0.9069 0.8138 0.6996  10 Au 2.84-2.96, 2 Hf 2.88
Au4 0.0931 0.1862 0.3004  10 Au 2.84-2.96, 2 Hf 2.88
Au5 0.3989 0.7978 0.2019  11 Au 2.84-2.96, 1 Hf 2.88
Au6 0.7012 0.4025 0.0993  12 Au 2.87-2.94
Au7 0.7985 0.5971 0.4033  9 Au 2.86-2.92, 3 Hf 2.88-2.89
Au8 0.2988 0.5975 0.9007  12 Au 2.87-2.94
Au9 0.2015 0.4029 0.5967  9 Au 2.86-2.92, 3 Hf 2.88-2.89
Hf1 0.5000 0.0000 0.5000  12 Au 2.88-2.89

Summary:
- N(E_F) (states/eV per atom) = 0.332
- M_tot (μB/f.u.) = 0.00
- DFT total energy (eV/atom) = -68.757
- ρ (Mg/m³) = 18.877
- space-group type = C2/m, No. 12

4.
VASP calculation (SCAN) on a PBEsol-optimized structure of Zr9V4S.

Cell: 8.4263 8.4988 8.4988 Å, 120.00 90.00 90.00°
Closest atoms and distances in Å follow each position.
Positions (direct):
S1 0.7500 0.3333 0.6667  6 Zr 2.63
S2 0.2500 0.6667 0.3333  6 Zr 2.63
Zr1 0.7500 0.5400 0.4600  2 V 2.93, 1 S 3.04, 10 Zr 3.17-3.23
Zr2 0.9498 0.6076 0.8038  1 S 2.63, 2 V 2.87-2.92
Zr3 0.7500 0.9200 0.4600  2 V 2.93, 1 S 3.04, 10 Zr 3.17-3.23
Zr4 0.4498 0.8038 0.6076  1 S 2.63, 2 V 2.87-2.92
Zr5 0.9498 0.1962 0.8038  1 S 2.63, 2 V 2.87-2.92
Zr6 0.0502 0.8038 0.6076  1 S 2.63, 2 V 2.87-2.92
Zr7 0.7500 0.5400 0.0800  2 V 2.93, 1 S 3.04, 10 Zr 3.17-3.23
Zr8 0.4498 0.3924 0.1962  1 S 2.63, 2 V 2.87-2.92
Zr9 0.0502 0.3924 0.1962  1 S 2.63, 2 V 2.87-2.92
Zr10 0.0502 0.8038 0.1962  1 S 2.63, 2 V 2.87-2.92
Zr11 0.5502 0.1962 0.3924  1 S 2.63, 2 V 2.87-2.92
Zr12 0.2500 0.4600 0.9200  2 V 2.93, 1 S 3.04, 10 Zr 3.17-3.23
Zr13 0.9498 0.1962 0.3924  1 S 2.63, 2 V 2.87-2.92
Zr14 0.5502 0.1962 0.8038  1 S 2.63, 2 V 2.87-2.92
Zr15 0.2500 0.4600 0.5400  2 V 2.93, 1 S 3.04, 10 Zr 3.17-3.23
Zr16 0.5502 0.6076 0.8038  1 S 2.63, 2 V 2.87-2.92
Zr17 0.2500 0.0800 0.5400  2 V 2.93, 1 S 3.04, 10 Zr 3.17-3.23
Zr18 0.4498 0.8038 0.1962  1 S 2.63, 2 V 2.87-2.92
V1 0.5000 0.0000 0.0000  6 V 2.60
V2 0.2500 0.1036 0.2071  4 V 2.60-2.64, 2 Zr 2.87
V3 0.2500 0.1036 0.8964  4 V 2.60-2.64, 2 Zr 2.87
V4 0.7500 0.2071 0.1036  4 V 2.60-2.64, 2 Zr 2.87
V5 0.7500 0.8964 0.1036  4 V 2.60-2.64, 2 Zr 2.87
V6 0.2500 0.7929 0.8964  4 V 2.60-2.64, 2 Zr 2.87
V7 0.0000 0.0000 0.0000  6 V 2.60
V8 0.7500 0.8964 0.7929  4 V 2.60-2.64, 2 Zr 2.87

Summary:
- N(E_F) (states/eV per atom) = 1.187
- M_tot (μB/f.u.) = 0.00
- DFT total energy (eV/atom) = -25.638
- E_form (uncorrected) (eV/atom) = -0.219
- ρ (Mg/m³) = 6.659
- space-group type = P6_3/mmc, No. 194